A geometry-optimized Tm5Sn3 structure. Source: the Alexandria database, functional PBE-GGA.

abc: 8.078 8.078 8.814
angles: 117.27 117.27 90.00
Element x y z (fractional)
Tm  0.000  0.000  0.000
Tm  0.500  0.500  0.000
Tm  0.504  0.004  0.698
Tm  0.195  0.695  0.698
Tm  0.695  0.504  0.698
Tm  0.004  0.195  0.698
Tm  0.496  0.996  0.302
Tm  0.805  0.305  0.302
Tm  0.305  0.496  0.302
Tm  0.996  0.805  0.302
Sn  0.750  0.750  0.500
Sn  0.250  0.250  0.500
Sn  0.146  0.646  0.000
Sn  0.854  0.354  0.000
Sn  0.354  0.146  0.000
Sn  0.646  0.854  0.000

Output
**D(E_F)**: 10.46 states/eV per cell
**Electronic total energy**: -39.350 eV per formula unit
**E_form**: -0.62 eV per atom
**Distance to the lowest polymorph of the same formula**: 0.077 eV/atom
**Symmetry**: I4/mcm (140)